Entry from the Alexandria database: an optimized crystal structure of Pm4Tl3Hg (PBE).

Cell: 8.6910 8.6910 8.6910 Å, 143.46 143.46 52.64°
Element x y z (fractional)
Pm 0.1232 0.6232 0.5000
Pm 0.3768 0.8768 0.5000
Pm 0.6232 0.1232 0.5000
Pm 0.8768 0.3768 0.5000
Tl 0.0000 0.0000 0.0000
Tl 0.2517 0.2517 0.0000
Tl 0.7483 0.7483 0.0000
Hg 0.5000 0.5000 0.0000

- spin magnetization (Bohr magnetons per cell) = 0.263
- energy above the most stable polymorph in this dataset (meV per atom) = 0
- formation energy (meV/atom) = -405.4